#a
SbWS2Cl GGA-PBE relaxed; space group = P4/mmm, No. 123; total moment = 0.0 μB/f.u.
1.0
-4.2915 1.3879 1.3389
-1.7136 -4.2430 -1.0940
0.9106 -1.5290 4.5037
Sb S W Cl
1 2 1 1
Direct
0.5000 0.5000 0.5000
0.0000 0.5000 0.0000
0.5000 0.0000 0.0000
0.0000 0.0000 0.0000
0.0000 0.0000 0.5000


#b
SbWS2Cl GGA-PBE relaxed; space group = P4/mmm, No. 123; total moment = 4.2 μB/f.u.
1.0
5.1327 0.0000 0.0000
0.0000 5.1327 0.0000
0.0000 0.0000 4.9747
Sb S W Cl
1 2 1 1
Direct
0.0000 0.0000 0.0000
0.0000 0.5000 0.0000
0.5000 0.0000 0.0000
0.5000 0.5000 0.5000
0.0000 0.0000 0.5000


Decreasing stability: #a, #b


#a
YSbS2Cl GGA-PBE relaxed; space group = P4/mmm, No. 123; total moment = 0.8 μB/f.u.
1.0
-1.4001 -1.5228 -4.7296
4.8373 -1.5405 -0.9360
-1.1201 -4.6231 1.8201
Y Sb S Cl
1 1 2 1
Direct
0.5000 0.5000 0.5000
0.0000 0.0000 0.0000
0.0000 0.5000 0.0000
0.5000 0.0000 0.0000
0.0000 0.0000 0.5000


#b
YSbS2Cl GGA-PBE relaxed; space group = P4/mmm, No. 123; total moment = 0.9 μB/f.u.
1.0
5.3081 0.0000 0.0000
0.0000 5.3081 0.0000
0.0000 0.0000 5.0488
Y Sb S Cl
1 1 2 1
Direct
0.0000 0.0000 0.0000
0.5000 0.5000 0.5000
0.0000 0.5000 0.0000
0.5000 0.0000 0.0000
0.0000 0.0000 0.5000


Decreasing stability: #b, #a


#a
ZrSbS2Cl GGA-PBE relaxed; space group = P4/mmm, No. 123; total moment = 2.0 μB/f.u.
1.0
-2.6178 -3.1355 -3.1865
-2.5139 -2.0210 4.0539
-3.5590 3.4609 -0.4816
Sb S Zr Cl
1 2 1 1
Direct
0.0000 0.0000 0.0000
0.0000 0.5000 0.0000
0.5000 0.0000 0.0000
0.5000 0.5000 0.5000
0.0000 0.0000 0.5000


#b
ZrSbS2Cl GGA-PBE relaxed; space group = P4/mmm, No. 123; total moment = 0.0 μB/f.u.
1.0
5.0312 0.0000 0.0000
0.0000 5.0312 0.0000
0.0000 0.0000 4.9447
Sb S Zr Cl
1 2 1 1
Direct
0.5000 0.5000 0.5000
0.0000 0.5000 0.0000
0.5000 0.0000 0.0000
0.0000 0.0000 0.0000
0.0000 0.0000 0.5000


Decreasing stability: #b, #a


#a
Sc2SCl3 GGA-PBE relaxed; space group = C2/m, No. 12; total moment = 0.2 μB/f.u.
1.0
3.5808 0.0000 0.7437
1.7341 8.2998 0.6431
-0.2595 -0.8428 10.2413
Sc S Cl
4 2 6
Direct
0.8827 0.3784 0.8562
0.1173 0.6216 0.1438
0.6185 0.1389 0.6241
0.3815 0.8611 0.3759
0.4359 0.4283 0.6999
0.5641 0.5717 0.3001
0.0657 0.0713 0.7972
0.9343 0.9287 0.2028
0.6836 0.6742 0.9586
0.3164 0.3258 0.0414
0.8079 0.8290 0.5551
0.1921 0.1710 0.4449


#b
Sc2SCl3 GGA-PBE relaxed; space group = C2/m, No. 12; total moment = 0.8 μB/f.u.
1.0
-2.2758 -2.8131 -0.4509
5.9494 -6.8056 -2.3130
0.2953 -4.0171 8.8273
Sc S Cl
4 2 6
Direct
0.8656 0.4306 0.8381
0.1344 0.5694 0.1619
0.5907 0.2825 0.5362
0.4093 0.7175 0.4638
0.4043 0.5180 0.6733
0.5957 0.4820 0.3267
0.0433 0.1856 0.7279
0.9567 0.8144 0.2721
0.6772 0.6667 0.9789
0.3228 0.3333 0.0211
0.7807 0.8357 0.6030
0.2193 0.1643 0.3970


Decreasing stability: #a, #b


#a
ScS2Cl GGA-PBE relaxed; space group = R-3m, No. 166; total moment = 0.0 μB/f.u.
1.0
2.1640 0.0000 8.3728
-1.0820 1.8741 8.3728
-1.0820 -1.8741 8.3728
Sc S Cl
1 2 1
Direct
0.0000 0.0000 0.0000
0.9090 0.9090 0.9090
0.0910 0.0910 0.0910
0.5000 0.5000 0.5000


#b
ScS2Cl GGA-PBE relaxed; space group = Fm-3m, No. 225; total moment = 0.0 μB/f.u.
1.0
0.0000 3.3123 3.3123
3.3123 0.0000 3.3123
3.3123 3.3123 0.0000
Sc S Cl
1 2 1
Direct
0.5000 0.5000 0.5000
0.2500 0.2500 0.2500
0.7500 0.7500 0.7500
0.0000 0.0000 0.0000


Decreasing stability: #b, #a


#a
ScSCl3 GGA-PBE relaxed; space group = Pm-3m, No. 221; total moment = 2.0 μB/f.u.
1.0
5.0165 0.0000 0.0000
0.0000 5.0165 0.0000
0.0000 0.0000 5.0165
Sc S Cl
1 1 3
Direct
0.0000 0.0000 0.0000
0.5000 0.5000 0.5000
0.0000 0.5000 0.0000
0.0000 0.0000 0.5000
0.5000 0.0000 0.0000


#b
ScSCl3 GGA-PBE relaxed; space group = Pm-3m, No. 221; total moment = 0.1 μB/f.u.
1.0
-1.9720 4.2854 -1.6004
-2.8039 -2.5094 -3.2644
-3.6145 -0.3915 3.4055
Sc S Cl
1 1 3
Direct
0.5000 0.5000 0.5000
0.0000 0.0000 0.0000
0.0000 0.5000 0.0000
0.0000 0.0000 0.5000
0.5000 0.0000 0.0000


Decreasing stability: #a, #b


#a
ScSeS2Cl GGA-PBE relaxed; space group = P4/mmm, No. 123; total moment = 0.7 μB/f.u.
1.0
4.8433 0.0000 0.0000
0.0000 4.8433 0.0000
0.0000 0.0000 4.8657
Sc S Se Cl
1 2 1 1
Direct
0.5000 0.5000 0.5000
0.0000 0.5000 0.0000
0.5000 0.0000 0.0000
0.0000 0.0000 0.0000
0.0000 0.0000 0.5000


#b
ScSeS2Cl GGA-PBE relaxed; space group = P4/mmm, No. 123; total moment = 0.0 μB/f.u.
1.0
-0.1673 -0.4616 -5.0095
0.8193 -4.9478 0.4286
-4.6633 -0.7527 0.2251
Sc S Se Cl
1 2 1 1
Direct
0.0000 0.0000 0.0000
0.0000 0.5000 0.0000
0.5000 0.0000 0.0000
0.5000 0.5000 0.5000
0.0000 0.0000 0.5000


Decreasing stability: #b, #a


#a
ScSiS2Cl GGA-PBE relaxed; space group = P4/mmm, No. 123; total moment = 0.0 μB/f.u.
1.0
-1.8810 1.8846 -4.2204
-1.3200 -4.5857 -1.4595
-4.2172 0.5391 2.1203
Sc S Si Cl
1 2 1 1
Direct
0.0000 0.0000 0.0000
0.0000 0.5000 0.0000
0.5000 0.0000 0.0000
0.5000 0.5000 0.5000
0.0000 0.0000 0.5000


#b
ScSiS2Cl GGA-PBE relaxed; space group = P4/mmm, No. 123; total moment = 0.7 μB/f.u.
1.0
4.6499 0.0000 0.0000
0.0000 4.6499 0.0000
0.0000 0.0000 4.5422
Sc S Si Cl
1 2 1 1
Direct
0.5000 0.5000 0.5000
0.0000 0.5000 0.0000
0.5000 0.0000 0.0000
0.0000 0.0000 0.0000
0.0000 0.0000 0.5000


Decreasing stability: #a, #b


#a
ScSiSCl2 GGA-PBE relaxed; space group = P4/mmm, No. 123; total moment = 1.2 μB/f.u.
1.0
4.7443 0.0000 0.0000
0.0000 4.7443 0.0000
0.0000 0.0000 4.9190
Sc S Si Cl
1 1 1 2
Direct
0.5000 0.5000 0.5000
0.0000 0.0000 0.5000
0.0000 0.0000 0.0000
0.0000 0.5000 0.0000
0.5000 0.0000 0.0000


#b
ScSiSCl2 GGA-PBE relaxed; space group = P4/mmm, No. 123; total moment = 1.0 μB/f.u.
1.0
4.9163 0.0000 0.0000
0.0000 4.9163 0.0000
0.0000 0.0000 5.0704
Sc S Si Cl
1 1 1 2
Direct
0.0000 0.0000 0.0000
0.0000 0.0000 0.5000
0.5000 0.5000 0.5000
0.0000 0.5000 0.0000
0.5000 0.0000 0.0000


Decreasing stability: #b, #a


#a
ScSnSCl2 GGA-PBE relaxed; space group = P4/mmm, No. 123; total moment = 0.0 μB/f.u.
1.0
4.9745 0.0000 0.0000
0.0000 4.9745 0.0000
0.0000 0.0000 5.0428
Sc S Sn Cl
1 1 1 2
Direct
0.0000 0.0000 0.0000
0.0000 0.0000 0.5000
0.5000 0.5000 0.5000
0.0000 0.5000 0.0000
0.5000 0.0000 0.0000


#b
ScSnSCl2 GGA-PBE relaxed; space group = P4/mmm, No. 123; total moment = 1.4 μB/f.u.
1.0
-1.5906 5.0489 -0.1012
-4.9353 -1.5318 1.1521
1.0647 0.4386 5.1441
Sc S Sn Cl
1 1 1 2
Direct
0.5000 0.5000 0.5000
0.0000 0.0000 0.5000
0.0000 0.0000 0.0000
0.0000 0.5000 0.0000
0.5000 0.0000 0.0000


Decreasing stability: #a, #b


#a
SrScSCl2 GGA-PBE relaxed; space group = P4/mmm, No. 123; total moment = 0.0 μB/f.u.
1.0
-2.5772 0.5126 4.1963
3.5729 -2.3627 2.4830
2.3277 4.4510 0.8858
Sc Sr S Cl
1 1 1 2
Direct
0.0000 0.0000 0.0000
0.5000 0.5000 0.5000
0.0000 0.0000 0.5000
0.0000 0.5000 0.0000
0.5000 0.0000 0.0000


#b
SrScSCl2 GGA-PBE relaxed; space group = P4/mmm, No. 123; total moment = 1.0 μB/f.u.
1.0
5.3340 0.0000 0.0000
0.0000 5.3340 0.0000
0.0000 0.0000 5.7806
Sc Sr S Cl
1 1 1 2
Direct
0.5000 0.5000 0.5000
0.0000 0.0000 0.0000
0.0000 0.0000 0.5000
0.0000 0.5000 0.0000
0.5000 0.0000 0.0000


Decreasing stability: #a, #b


#a
ScTaSCl2 GGA-PBE relaxed; space group = P4/mmm, No. 123; total moment = 3.9 μB/f.u.
1.0
-0.0312 4.8307 -0.0406
-4.7789 -0.0368 -0.7066
-0.7498 0.0378 5.0686
Sc S Cl Ta
1 1 2 1
Direct
0.0000 0.0000 0.0000
0.0000 0.0000 0.5000
0.0000 0.5000 0.0000
0.5000 0.0000 0.0000
0.5000 0.5000 0.5000


#b
ScTaSCl2 GGA-PBE relaxed; space group = P4/mmm, No. 123; total moment = 1.7 μB/f.u.
1.0
4.8499 0.0000 0.0000
0.0000 4.8499 0.0000
0.0000 0.0000 4.8019
Sc S Cl Ta
1 1 2 1
Direct
0.5000 0.5000 0.5000
0.0000 0.0000 0.5000
0.0000 0.5000 0.0000
0.5000 0.0000 0.0000
0.0000 0.0000 0.0000


Decreasing stability: #b, #a


#a
ScTaS2Cl GGA-PBE relaxed; space group = P4/mmm, No. 123; total moment = 3.0 μB/f.u.
1.0
-4.7350 -0.3623 1.3518
0.3528 -4.9241 -0.0839
1.2806 0.0153 4.4895
Sc S Cl Ta
1 2 1 1
Direct
0.0000 0.0000 0.0000
0.0000 0.5000 0.0000
0.5000 0.0000 0.0000
0.0000 0.0000 0.5000
0.5000 0.5000 0.5000


#b
ScTaS2Cl GGA-PBE relaxed; space group = P4/mmm, No. 123; total moment = 1.4 μB/f.u.
1.0
-2.5946 -1.2595 3.8379
4.0374 -0.9469 2.4188
0.1218 4.5121 1.5631
Sc S Cl Ta
1 2 1 1
Direct
0.5000 0.5000 0.5000
0.0000 0.5000 0.0000
0.5000 0.0000 0.0000
0.0000 0.0000 0.5000
0.0000 0.0000 0.0000


Decreasing stability: #b, #a


#a
ScTeSCl2 GGA-PBE relaxed; space group = P4/mmm, No. 123; total moment = 1.4 μB/f.u.
1.0
5.3576 0.0000 0.0000
0.0000 5.3576 0.0000
0.0000 0.0000 5.2684
Sc S Te Cl
1 1 1 2
Direct
0.5000 0.5000 0.5000
0.0000 0.0000 0.5000
0.0000 0.0000 0.0000
0.0000 0.5000 0.0000
0.5000 0.0000 0.0000


#b
ScTeSCl2 GGA-PBE relaxed; space group = P4/mmm, No. 123; total moment = 0.9 μB/f.u.
1.0
-3.3347 -3.4065 -0.9891
3.5414 -3.2746 -0.6617
-0.2209 -1.2805 5.1549
Sc S Te Cl
1 1 1 2
Direct
0.0000 0.0000 0.0000
0.0000 0.0000 0.5000
0.5000 0.5000 0.5000
0.0000 0.5000 0.0000
0.5000 0.0000 0.0000


Decreasing stability: #b, #a